The following is a PBE calculation of a geometry-optimized Zn3Ag7 structure, from Alexandria via LeMat-Bulk. Values from VASP.

Values from the calculation:
Distance to the lowest polymorph of the same formula ... 0 meV per atom
SG ... C2/m, No. 12
DFT formation energy ... -20.3 meV/atom

Geometry as Quantum ESPRESSO input:
```
&SYSTEM
  ibrav = 0, nat = 10, ntyp = 2
/
ATOMIC_SPECIES
Ag 107.87 Ag.upf
Zn 65.41 Zn.upf
CELL_PARAMETERS angstrom
0.038 2.960 -2.928
0.336 -4.011 -4.052
-7.202 -0.701 2.158
ATOMIC_POSITIONS angstrom
Ag -1.433 0.346 -2.629
Ag -2.869 -0.142 -0.181
Ag 0.168 -2.006 -2.026
Ag -5.396 -2.098 -2.192
Ag -3.959 -1.609 -4.639
Ag -1.059 -1.652 -4.645
Ag -5.770 -0.099 -0.175
Zn -2.629 -2.160 -2.219
Zn -4.199 0.409 -2.602
Zn 0.000 0.000 0.000
```

The following is a PBE calculation of a geometry-optimized K3Rb12Cd5 structure, from Alexandria via LeMat-Bulk. Values from VASP.

Values from the calculation:
SG ... Ia-3d, No. 230
DFT formation energy ... 140.7 meV/atom

Geometry as Quantum ESPRESSO input:
```
&SYSTEM
  ibrav = 0, nat = 80, ntyp = 3
/
ATOMIC_SPECIES
Rb 85.47 Rb.upf
Cd 112.41 Cd.upf
K 39.10 K.upf
CELL_PARAMETERS angstrom
20.403 0.000 0.000
-6.801 19.237 0.000
-6.801 -9.618 16.659
ATOMIC_POSITIONS angstrom
Rb 7.983 -2.439 15.000
Rb 2.219 -2.656 15.377
Rb 2.866 6.973 11.271
Rb 7.983 2.656 15.377
Rb 13.068 1.180 7.926
Rb 4.583 12.274 1.282
Rb -7.983 0.217 13.718
Rb -8.361 4.825 11.675
Rb 15.162 4.794 4.985
Rb -5.242 16.348 1.686
Rb 13.759 -4.302 10.016
Rb -1.182 6.962 1.282
Rb 8.642 2.889 1.686
Rb 1.841 1.905 9.989
Rb 3.244 13.221 7.047
Rb -3.558 -7.904 16.256
Rb 12.043 -6.729 14.973
Rb 6.267 -2.645 5.388
Rb 2.219 2.439 15.000
Rb -2.219 -0.217 13.718
Rb 13.445 1.714 0.404
Rb 0.535 12.263 11.271
Rb -1.841 -4.825 11.675
Rb -1.182 12.057 1.659
Rb -6.267 8.439 8.733
Rb -3.935 11.084 13.314
Rb -1.560 11.523 6.671
Rb -0.535 1.465 3.345
Rb 3.558 -3.603 9.612
Rb -6.958 13.920 6.644
Rb 8.361 -1.905 9.989
Rb 10.359 17.523 0.404
Rb -1.841 6.729 14.973
Rb 4.583 7.180 1.659
Rb -6.644 7.904 16.256
Rb 9.667 10.798 8.733
Rb -2.866 -1.180 7.926
Rb 14.784 9.401 2.941
Rb -3.558 4.302 10.016
Rb 9.020 9.836 2.941
Rb 8.642 14.443 4.985
Rb 10.736 -1.465 3.345
Rb 4.960 7.714 6.671
Rb 0.157 6.016 7.047
Rb 7.336 8.153 13.314
Rb 10.359 5.317 6.644
Rb 3.935 2.645 5.388
Rb 6.644 3.603 9.612
Cd 11.902 -1.202 10.412
Cd -1.700 1.202 10.412
Cd -3.401 9.618 0.000
Cd 8.501 4.809 12.495
Cd -1.700 15.630 2.082
Cd -3.401 -4.809 8.330
Cd 0.000 0.000 0.000
Cd 6.801 -4.809 8.330
Cd -5.101 10.821 6.247
Cd 3.401 4.809 8.330
Cd 1.700 6.011 14.577
Cd -1.700 4.809 4.165
Cd 5.101 14.427 4.165
Cd 6.801 9.618 0.000
Cd 8.501 8.416 6.247
Cd 5.101 3.607 2.082
Cd 10.202 0.000 0.000
Cd 1.700 -4.809 12.495
Cd -6.801 4.809 8.330
Cd 8.501 -6.011 14.577
K 5.101 0.000 12.495
K 1.700 -1.202 6.247
K -1.700 8.416 10.412
K 1.700 9.618 4.165
K 8.501 1.202 6.247
K -8.501 9.618 12.495
K -5.101 3.607 14.577
K 15.303 0.000 4.165
K 11.902 6.011 2.082
K 5.101 10.821 10.412
K 11.902 13.225 2.082
K -5.101 -3.607 14.577
```

The following is a PBE calculation of a geometry-optimized TaPd4Pt structure, from Alexandria via LeMat-Bulk. Values from VASP.

Values from the calculation:
Distance to the lowest polymorph of the same formula ... 107 meV per atom
SG ... C2/m, No. 12
DFT formation energy ... -259.7 meV/atom

Geometry as Quantum ESPRESSO input:
```
&SYSTEM
  ibrav = 0, nat = 12, ntyp = 3
/
ATOMIC_SPECIES
Ta 180.95 Ta.upf
Pd 106.42 Pd.upf
Pt 195.08 Pt.upf
CELL_PARAMETERS angstrom
0.174 -3.812 4.381
1.614 -4.768 -0.830
7.093 2.128 1.570
ATOMIC_POSITIONS angstrom
Ta 2.984 -3.044 -0.230
Ta 5.723 0.404 0.970
Pd 4.866 -2.052 1.561
Pd 2.127 -5.501 0.361
Pd 1.446 -5.171 2.991
Pd 4.015 -4.401 3.560
Pd 6.754 -0.952 4.759
Pd 7.435 -1.282 2.129
Pd 4.696 -4.730 0.929
Pd 4.185 -1.723 4.191
Pt 2.264 -2.566 2.375
Pt 6.617 -3.887 2.745
```

The following is a PBE calculation of a geometry-optimized Dy6IrPd2 structure, from Alexandria via LeMat-Bulk. Values from VASP.

Values from the calculation:
Distance to the lowest polymorph of the same formula ... 3 meV per atom
SG ... Immm, No. 71
DFT formation energy ... -607.9 meV/atom

Geometry as Quantum ESPRESSO input:
```
&SYSTEM
  ibrav = 0, nat = 18, ntyp = 3
/
ATOMIC_SPECIES
Dy 162.50 Dy.upf
Ir 192.22 Ir.upf
Pd 106.42 Pd.upf
CELL_PARAMETERS angstrom
7.846 0.219 -2.807
-4.047 6.822 -2.562
-0.035 -0.219 8.333
ATOMIC_POSITIONS angstrom
Dy -1.587 4.893 5.293
Dy 5.379 0.353 0.679
Dy -1.616 6.470 2.284
Dy 1.442 5.004 3.401
Dy 2.321 1.818 -0.438
Dy 0.381 1.710 2.512
Dy -0.245 4.252 0.346
Dy 4.008 2.570 2.617
Dy 4.158 5.223 -3.035
Dy 5.350 1.929 -2.330
Dy 3.383 5.112 0.451
Dy -0.395 1.599 5.998
Ir 0.000 0.000 0.000
Ir 5.805 3.521 0.078
Pd 2.413 2.413 4.872
Pd 5.126 0.000 3.626
Pd 2.684 0.000 1.899
Pd 1.350 4.409 -1.908
```